# CoTcPb3

A relaxed CoTcPb3 crystal (PBE-GGA, Alexandria via LeMat-Bulk).

Lattice parameters (Å, degrees): 5.0466 5.0466 5.0466 90.00 90.00 90.00
Positions (direct):
Pb  0.0000  0.5000  0.0000
Pb  0.0000  0.0000  0.5000
Pb  0.5000  0.0000  0.0000
Co  0.0000  0.0000  0.0000
Tc  0.5000  0.5000  0.5000

Energy relative to the lowest polymorph listed for this composition ... 0 meV per atom
Space-group type ... Pm-3m (221)
ΔH_f (0 K) ... 4.831 eV/f.u.
Raw total energy ... -4.7532 eV/atom